# SmBe4Ir

An optimized crystal structure of SmBe4Ir (PBE-GGA, the Alexandria database).

Values from the calculation:
* total moment: 0.00 μB per atom
* E_tot: -4.99 eV per atom
* energy of formation from the pure elements: -0.246 eV per atom
* ρ: 8.35 Mg/m³

Cell: 4.7403 4.7403 4.7403 Å, 60.00 60.00 60.00°
With the nearest neighbours (Å) after each atom.
Fractional coordinates of all 6 atoms:
Be1 0.6289 0.6289 0.1132  6 Be 2.30-2.44
Be2 0.6289 0.1132 0.6289  6 Be 2.30-2.44
Be3 0.6289 0.6289 0.6289  6 Be 2.30-2.44
Be4 0.1132 0.6289 0.6289  6 Be 2.30-2.44
Ir1 0.0000 0.0000 0.0000  12 Be 2.77, 4 Sm 2.90
Sm1 0.2500 0.2500 0.2500  12 Be 2.79, 4 Ir 2.90



# LiCa4Zn

An optimized crystal structure of LiCa4Zn (PBE-GGA, the Alexandria database).

Values from the calculation:
* total moment: 0.00 μB per atom
* E_tot: -1.46 eV per atom
* energy of formation from the pure elements: 0.407 eV per atom
* ρ: 1.63 Mg/m³

Cell: 6.9470 6.9470 6.9470 Å, 60.00 60.00 60.00°
With the nearest neighbours (Å) after each atom.
Fractional coordinates of all 6 atoms:
Li1 0.7500 0.7500 0.7500  12 Ca 4.07, 4 Zn 4.25
Ca1 0.8754 0.3749 0.3749  6 Ca 3.47-3.48
Ca2 0.3749 0.3749 0.8754  6 Ca 3.47-3.48
Ca3 0.3749 0.8754 0.3749  6 Ca 3.47-3.48
Ca4 0.3749 0.3749 0.3749  6 Ca 3.47-3.48
Zn1 0.0000 0.0000 0.0000  12 Ca 4.07, 4 Li 4.25



# EuMgTl2

An optimized crystal structure of EuMgTl2 (PBE-GGA, the Alexandria database).

Values from the calculation:
* total moment: 1.79 μB per atom
* E_tot: -4.41 eV per atom
* energy of formation from the pure elements: -0.263 eV per atom
* ρ: 8.64 Mg/m³

Cell: 4.2796 5.1249 5.1249 Å, 90.00 90.00 90.00°
With the nearest neighbours (Å) after each atom.
Fractional coordinates of all 4 atoms:
Eu1 0.5000 0.0000 0.0000  8 Tl 3.34, 4 Mg 3.62
Tl1 0.0000 0.0000 0.5000  4 Mg 3.34, 4 Eu 3.34, 4 Tl 3.62
Tl2 0.0000 0.5000 0.0000  4 Mg 3.34, 4 Eu 3.34, 4 Tl 3.62
Mg1 0.5000 0.5000 0.5000  8 Tl 3.34, 4 Eu 3.62



# BaHfTe3

An optimized crystal structure of BaHfTe3 (PBE-GGA, the Alexandria database).

Values from the calculation:
* formation energy without anion corrections: -1035.9 meV/atom
* total moment: 0.00 μB per atom
* E_tot: -5.30 eV per atom
* ρ: 6.47 Mg/m³

Cell: 5.6402 5.6402 5.6402 Å, 90.00 90.00 90.00°
With the nearest neighbours (Å) after each atom.
Fractional coordinates of all 5 atoms:
Te1 0.0000 0.5000 0.0000  2 Hf 2.82
Te2 0.0000 0.0000 0.5000  2 Hf 2.82
Te3 0.5000 0.0000 0.0000  2 Hf 2.82
Hf1 0.0000 0.0000 0.0000  6 Te 2.82
Ba1 0.5000 0.5000 0.5000  12 Te 3.99



Which formula does entry 1 have? SmBe4Ir